Entry 1:
Computed, not measured: a relaxed Rb2BrClF6 crystal at the PBE level of DFT.

a b c (Å): 6.735 6.735 6.739
angles (deg): 60.02 60.02 90.00
Fractional coordinates of all 10 atoms:
F 0.204 0.204 0.591
F 0.796 0.796 0.409
F 0.205 0.205 0.000
F 0.795 0.795 0.000
F 0.795 0.205 0.000
F 0.205 0.795 0.000
Br 0.000 0.000 0.000
Rb 0.750 0.250 0.500
Rb 0.250 0.750 0.500
Cl 0.500 0.500 0.000

Values from the calculation:
total moment: 0.00 μB/f.u.
calculated volume: 21.63 A^3/atom
N(E_F): 0.000 states/eV/atom
crystal system: cubic
formation energy from raw total energies: -1.500 eV per atom
electronic total energy: -31.68 eV/f.u.

Entry 2:
Computed, not measured: a relaxed Ac4NiIBr2 crystal at the PBE level of DFT.

a b c (Å): 4.323 8.771 7.823
angles (deg): 107.56 90.00 90.00
Fractional coordinates of all 8 atoms:
Ac 0.500 0.290 0.244
Ac 0.500 0.710 0.756
Ac 0.000 0.303 0.791
Ac 0.000 0.697 0.209
Ni 0.500 0.500 0.000
I 0.000 0.000 0.000
Br 0.500 0.000 0.500
Br 0.000 0.500 0.500

Values from the calculation:
total moment: 0.00 μB/f.u.
calculated volume: 35.36 A^3/atom
N(E_F): 0.689 states/eV/atom
crystal system: monoclinic
formation energy from raw total energies: -0.897 eV per atom
electronic total energy: -34.28 eV/f.u.

Entry 3:
Computed, not measured: a relaxed LiUS crystal at the PBE level of DFT.

a b c (Å): 3.708 3.708 8.811
angles (deg): 77.85 77.85 60.00
Fractional coordinates of all 6 atoms:
Li 0.301 0.301 0.097
Li 0.699 0.699 0.903
U 0.140 0.140 0.581
U 0.860 0.860 0.419
S 0.400 0.400 0.800
S 0.600 0.600 0.200

Values from the calculation:
total moment: 0.00 μB/f.u.
calculated volume: 16.96 A^3/atom
N(E_F): 0.996 states/eV/atom
crystal system: trigonal
formation energy from raw total energies: -1.087 eV per atom
electronic total energy: -20.59 eV/f.u.

- What is the formula in the second record?
  Ac4NiIBr2